# 1
! SbMoCl2, optimized geometry, DFT PBE-GGA; values from VASP
! raw formation energy: -0.10 eV per atom
! E: -4.760 eV/atom
! magnetization: 0.0 μB/cell
! space-group type: P4mm, No. 99
! crystal system: tetragonal
! calculated volume: 27.74 Å³ per atom
! energy above the lowest structure with this stoichiometry: 205.3 meV/atom
! DOS at the Fermi energy: 0.6300 states/eV per atom
&SYSTEM
  ibrav = 0, nat = 4, ntyp = 3
/
ATOMIC_SPECIES
Sb 121.76 Sb.upf
Mo 95.94 Mo.upf
Cl 35.45 Cl.upf
CELL_PARAMETERS angstrom
3.4675 0.0000 0.0000
0.0000 3.4675 0.0000
0.0000 0.0000 9.2292
ATOMIC_POSITIONS angstrom
Sb 0.0000 0.0000 0.0000
Mo 1.7337 1.7337 1.2266
Cl 0.0000 0.0000 6.8571
Cl 1.7337 1.7337 3.4722

***

# 2
! Dy5Mg4Ga, optimized geometry, DFT PBE-GGA; values from VASP
! E: -3.423 eV/atom
! magnetization: 0.0 μB/cell
! energy of formation: -0.1819 eV per atom
! space-group type: P4/mmm, No. 123
! crystal system: tetragonal
! calculated volume: 26.19 Å³ per atom
! DOS at the Fermi energy: 1.1186 states/eV per atom
&SYSTEM
  ibrav = 0, nat = 10, ntyp = 3
/
ATOMIC_SPECIES
Dy 162.50 Dy.upf
Mg 24.30 Mg.upf
Ga 69.72 Ga.upf
CELL_PARAMETERS angstrom
3.7065 0.0000 0.0000
0.0000 3.7065 0.0000
0.0000 0.0000 19.0640
ATOMIC_POSITIONS angstrom
Dy 0.0000 0.0000 0.0000
Dy 0.0000 0.0000 3.9109
Dy 0.0000 0.0000 7.8310
Dy 0.0000 0.0000 11.2330
Dy 0.0000 0.0000 15.1531
Mg 1.8532 1.8532 1.9573
Mg 1.8532 1.8532 5.8400
Mg 1.8532 1.8532 13.2240
Mg 1.8532 1.8532 17.1066
Ga 1.8532 1.8532 9.5320

***

# 3
! BaNaAl2Sb, optimized geometry, DFT PBE-GGA; values from VASP
! raw formation energy: 0.35 eV per atom
! E: -2.623 eV/atom
! magnetization: 0.0 μB/cell
! space-group type: P4/mmm, No. 123
! crystal system: tetragonal
! calculated volume: 38.97 Å³ per atom
! DOS at the Fermi energy: 0.6194 states/eV per atom
&SYSTEM
  ibrav = 0, nat = 5, ntyp = 4
/
ATOMIC_SPECIES
Ba 137.33 Ba.upf
Na 22.99 Na.upf
Al 26.98 Al.upf
Sb 121.76 Sb.upf
CELL_PARAMETERS angstrom
5.4753 0.0000 0.0000
0.0000 5.4753 0.0000
0.0000 0.0000 6.5000
ATOMIC_POSITIONS angstrom
Ba 0.0000 0.0000 0.0000
Na 2.7377 2.7377 0.0000
Al 0.0000 2.7377 3.2500
Al 2.7377 0.0000 3.2500
Sb 0.0000 0.0000 3.2500

***

# 4
! CaLa2Pd2, optimized geometry, DFT PBE-GGA; values from VASP
! E: -5.122 eV/atom
! magnetization: 0.0 μB/cell
! energy of formation: -0.6738 eV per atom
! space-group type: P4/mbm, No. 127
! crystal system: tetragonal
! calculated volume: 27.25 Å³ per atom
! energy above the lowest structure with this stoichiometry: 0.0 meV/atom
! DOS at the Fermi energy: 0.8981 states/eV per atom
&SYSTEM
  ibrav = 0, nat = 10, ntyp = 3
/
ATOMIC_SPECIES
Ca 40.08 Ca.upf
La 138.91 La.upf
Pd 106.42 Pd.upf
CELL_PARAMETERS angstrom
8.1011 0.0000 0.0000
0.0000 8.1011 0.0000
0.0000 0.0000 4.1515
ATOMIC_POSITIONS angstrom
Ca 0.0000 0.0000 0.0000
Ca 4.0505 4.0505 0.0000
La 1.3157 2.7349 2.0758
La 2.7349 6.7854 2.0758
La 5.3662 1.3157 2.0758
La 6.7854 5.3662 2.0758
Pd 1.0731 5.1236 0.0000
Pd 2.9775 1.0731 0.0000
Pd 5.1236 7.0280 0.0000
Pd 7.0280 2.9775 0.0000

***

# 5
! Al2Ag, optimized geometry, DFT PBE-GGA; values from VASP
! E: -3.459 eV/atom
! magnetization: 0.0 μB/cell
! energy of formation: -0.0131 eV per atom
! space-group type: Cm, No. 8
! crystal system: monoclinic
! calculated volume: 16.95 Å³ per atom
! DOS at the Fermi energy: 0.2927 states/eV per atom
&SYSTEM
  ibrav = 0, nat = 12, ntyp = 2
/
ATOMIC_SPECIES
Al 26.98 Al.upf
Ag 107.87 Ag.upf
CELL_PARAMETERS angstrom
4.7493 -4.3491 0.0000
4.7493 4.3491 0.0000
-0.8289 0.0000 4.9252
ATOMIC_POSITIONS angstrom
Al 0.0000 0.0000 0.0000
Al 2.1020 1.4508 1.1974
Al 4.3031 2.9169 2.4792
Al 1.7237 0.0000 3.6349
Al 2.1020 -1.4508 1.1974
Al 6.4233 1.4231 3.6803
Al 4.3031 -2.9169 2.4792
Al 6.4233 -1.4231 3.6803
Ag 3.8412 1.5261 4.8832
Ag 4.2142 0.0000 2.4122
Ag 3.8412 -1.5261 4.8832
Ag 6.9345 0.0000 1.2772

***

Which formula does entry 2 have?
Dy5Mg4Ga